(a)
A relaxed AcTmIn4 crystal, computed with PBE.

```
AcTmIn4
1.0
5.113 0.000 0.000
-2.556 4.428 0.000
0.000 0.000 7.444
Ac Tm In
1 1 4
Cartesian
0.000 0.000 0.000
0.000 0.000 3.722
0.000 2.952 2.100
0.000 2.952 5.344
2.556 1.476 2.100
2.556 1.476 5.344
```

Computed properties:
Space group ... No. 191
Volume ... 28.08 Å³/atom
Density ... 8.4 g/cm³
N(E_F) ... 0.314 states/eV per atom

(b)
A relaxed AcTmIn4 crystal, computed with PBE.

```
AcTmIn4
1.0
0.000 4.358 4.358
4.358 0.000 4.358
4.358 4.358 0.000
Ac Tm In
1 1 4
Cartesian
0.000 0.000 0.000
6.537 6.537 6.537
3.270 3.270 3.270
5.445 5.445 3.270
5.445 3.270 5.445
3.270 5.445 5.445
```

Computed properties:
Space group ... No. 216
Volume ... 27.59 Å³/atom
Density ... 8.6 g/cm³
N(E_F) ... 0.851 states/eV per atom

(a) ends up most stable, edging out the next structure by 99 meV per atom.